[1]
The following is a GGA-PBE calculation of a relaxed structure of Rb2NaTlAg, from Alexandria.

Structure (POSCAR):
```
Rb2NaTlAg
1.0
6.826 0.000 0.000
0.000 6.826 0.000
0.000 0.000 5.474
Rb Na Tl Ag
2 1 1 1
Cartesian
0.000 3.413 0.000
3.413 0.000 0.000
0.000 0.000 2.737
3.413 3.413 2.737
3.413 3.413 0.000
```

Output
Calculated volume = 51.0 Å³ per atom
Calculated total energy = -8.0 eV/cell
Energy relative to the elements = 94.5 meV per atom

[2]
The following is a GGA-PBE calculation of a relaxed structure of Cs4SrSn3Br12, from Alexandria.

Structure (POSCAR):
```
Cs4SrSn3Br12
1.0
-5.934 5.934 5.934
5.934 -5.934 5.934
5.934 5.934 -5.934
Cs Sr Sn Br
4 1 3 12
Cartesian
2.967 2.967 -2.967
2.967 -2.967 2.967
-2.967 2.967 2.967
2.967 2.967 2.967
0.000 0.000 0.000
5.934 0.000 0.000
0.000 5.934 0.000
0.000 0.000 5.934
2.995 0.000 0.000
8.872 0.000 0.000
5.934 2.967 0.000
5.934 0.000 2.967
0.000 2.995 0.000
0.000 0.000 2.995
2.967 5.934 0.000
2.967 0.000 5.934
0.000 8.872 0.000
0.000 0.000 8.872
0.000 5.934 2.967
0.000 2.967 5.934
```

Output
ΔE_f (raw) = -32.4 kcal/mol of atoms
Calculated volume = 41.8 Å³ per atom
Calculated total energy = -65.3 eV/cell